[1]
The following is a DFT calculation (PBE) of a geometry-optimized NdSi2Ni structure.

Results
Total energy: -5.75 eV per atom
Magnetic moment: 0.0004 μB/atom

Cell: 3.744 5.336 7.534 Å, 90.00 90.00 90.00°
Space group Pmc2_1 (No. 26)
Unique sites:
Nd  0.000  0.001  0.000 x2
Si  0.000  0.464  0.747 x2
Si  0.500  0.249  0.251 x2
Ni  0.500  0.498  0.502 x2



[2]
The following is a DFT calculation (PBE) of a geometry-optimized Gd2GaSiBr2 structure.

Results
Total energy: -4.75 eV per atom
Magnetic moment: 0.0005 μB/atom

Cell: 4.0762 4.0762 11.4717 Å, 90.00 90.00 120.00°
Space group P3m1 (No. 156)
Unique sites:
Gd  0.0000  0.0000  0.0000 x1
Gd  0.0000  0.0000  0.3540 x1
Ga  0.3333  0.6667  0.1577 x1
Si  0.6667  0.3333  0.1951 x1
Br  0.3333  0.6667  0.5121 x1
Br  0.6667  0.3333  0.8413 x1



[3]
The following is a DFT calculation (PBE) of a geometry-optimized HfInTeAuSe2 structure.

Results
Total energy: -4.95 eV per atom
Magnetic moment: 0.0002 μB/atom

Cell: 3.915 14.946 10.793 Å, 90.00 90.00 90.00°
Space group Cmcm (No. 63)
Unique sites:
Hf  0.000  0.000  0.000 x4
In  0.000  0.222  0.250 x4
Te  0.000  0.086  0.750 x4
Au  0.000  0.451  0.750 x4
Se  0.000  0.375  0.534 x8



[4]
The following is a DFT calculation (PBE) of a geometry-optimized RbPrSeO structure.

Results
Total energy: -5.49 eV per atom
Magnetic moment: 0.0002 μB/atom

Cell: 4.340 4.340 10.419 Å, 90.00 90.00 90.00°
Space group P4/nmm (No. 129, origin choice 2)
Unique sites:
Rb  0.250  0.750  0.000 x2
Pr  0.250  0.250  0.399 x2
Se  0.250  0.250  0.768 x2
O  0.250  0.750  0.500 x2



[5]
The following is a DFT calculation (PBE) of a geometry-optimized LiTlWS3 structure.

Results
Total energy: -5.48 eV per atom
Magnetic moment: 0.0324 μB/atom

Cell: 3.413 14.336 9.543 Å, 90.00 90.00 90.00°
Space group Cmcm (No. 63)
Unique sites:
Li  0.000  0.061  0.250 x4
Tl  0.000  0.225  0.750 x4
W  0.000  0.500  0.000 x4
S  0.000  0.122  0.030 x8
S  0.000  0.453  0.250 x4



[6]
The following is a DFT calculation (PBE) of a geometry-optimized Er5ReTe3 structure.

Results
Total energy: -5.37 eV per atom
Magnetic moment: 0.0698 μB/atom

Cell: 8.6840 8.6840 3.7029 Å, 90.00 90.00 120.00°
Space group P-62m (No. 189)
Unique sites:
Er  0.0000  0.2342  0.0000 x3
Er  0.3333  0.6667  0.0000 x2
Re  0.0000  0.0000  0.5000 x1
Te  0.0000  0.5713  0.5000 x3



[7]
The following is a DFT calculation (PBE) of a geometry-optimized TbAuSO structure.

Results
Total energy: -6.05 eV per atom
Magnetic moment: 0.0002 μB/atom

Cell: 3.908 3.908 9.080 Å, 90.00 90.00 90.00°
Space group P4mm (No. 99)
Unique sites:
Tb  0.000  0.000  0.000 x1
Tb  0.500  0.500  0.251 x1
Au  0.000  0.500  0.626 x2
S  0.000  0.000  0.411 x1
S  0.500  0.500  0.841 x1
O  0.000  0.500  0.126 x2



[8]
The following is a DFT calculation (PBE) of a geometry-optimized CsAgTe3Pd structure.

Results
Total energy: -3.46 eV per atom

Cell: 9.088 4.239 10.807 Å, 90.00 112.31 90.00°
Space group P2_1/m (No. 11)
Unique sites:
Cs  0.245  0.250  0.288 x2
Ag  0.060  0.250  0.597 x2
Te  0.136  0.250  0.881 x2
Te  0.267  0.750  0.586 x2
Te  0.486  0.750  0.127 x2
Pd  0.323  0.750  0.861 x2



[9]
The following is a DFT calculation (PBE) of a geometry-optimized LiHfSb2 structure.

Results
Total energy: -4.88 eV per atom
Magnetic moment: 0.0864 μB/atom

Cell: 7.128 7.128 7.128 Å, 90.00 90.00 90.00°
Space group F-43m (No. 216)
Unique sites:
Li  0.000  0.000  0.000 x4
Hf  0.250  0.250  0.250 x4
Sb  0.000  0.000  0.500 x4
Sb  0.250  0.250  0.750 x4



[10]
The following is a DFT calculation (PBE) of a geometry-optimized TlFeRePt structure.

Results
Total energy: -6.64 eV per atom
Magnetic moment: 0.9367 μB/atom

Cell: 6.387 6.387 6.387 Å, 90.00 90.00 90.00°
Space group F-43m (No. 216)
Unique sites:
Tl  0.000  0.000  0.000 x4
Fe  0.250  0.250  0.250 x4
Re  0.000  0.000  0.500 x4
Pt  0.250  0.250  0.750 x4



[11]
The following is a DFT calculation (PBE) of a geometry-optimized ScFeGePt structure.

Results
Total energy: -6.74 eV per atom
Magnetic moment: 0.7133 μB/atom

Cell: 6.366 6.366 6.366 Å, 90.00 90.00 90.00°
Space group F-43m (No. 216)
Unique sites:
Sc  0.000  0.000  0.000 x4
Fe  0.000  0.000  0.500 x4
Ge  0.250  0.250  0.250 x4
Pt  0.250  0.250  0.750 x4



[12]
The following is a DFT calculation (PBE) of a geometry-optimized KPPtO structure.

Results
Total energy: -4.70 eV per atom
Magnetic moment: 0.2920 μB/atom

Cell: 4.187 4.187 10.064 Å, 90.00 90.00 90.00°
Space group P4/nmm (No. 129, origin choice 2)
Unique sites:
K  0.250  0.250  0.151 x2
P  0.250  0.250  0.616 x2
Pt  0.250  0.750  0.500 x2
O  0.250  0.750  0.000 x2



[13]
The following is a DFT calculation (PBE) of a geometry-optimized ErTmSb structure.

Results
Total energy: -4.83 eV per atom
Magnetic moment: 0.0149 μB/atom

Cell: 7.080 7.080 7.080 Å, 90.00 90.00 90.00°
Space group F-43m (No. 216)
Unique sites:
Er  0.000  0.000  0.000 x4
Tm  0.000  0.000  0.500 x4
Sb  0.250  0.250  0.250 x4



[14]
The following is a DFT calculation (PBE) of a geometry-optimized AcZr2 structure.

Results
E_form: 0.205 eV per atom
Magnetic moment: 0.0003 μB/atom

Cell: 8.932 5.399 15.059 Å, 90.00 101.46 90.00°
Space group P2_1/m (No. 11)
Unique sites:
Ac  0.118  0.250  0.242 x2
Ac  0.195  0.250  0.775 x2
Ac  0.215  0.750  0.404 x2
Ac  0.312  0.750  0.137 x2
Zr  0.081  0.250  0.996 x2
Zr  0.107  0.250  0.513 x2
Zr  0.208  0.750  0.626 x2
Zr  0.231  0.750  0.920 x2
Zr  0.415  0.250  0.005 x2
Zr  0.428  0.250  0.639 x2
Zr  0.464  0.250  0.434 x2
Zr  0.471  0.750  0.774 x2



[15]
The following is a DFT calculation (PBE) of a geometry-optimized Ho3ZrC2Se2 structure.

Results
Total energy: -7.11 eV per atom
Magnetic moment: 0.0003 μB/atom

Cell: 3.6602 3.6602 13.1063 Å, 90.00 90.00 120.00°
Space group P3m1 (No. 156)
Unique sites:
Ho  0.0000  0.0000  0.0000 x1
Ho  0.0000  0.0000  0.3033 x1
Ho  0.6667  0.3333  0.7978 x1
Zr  0.6667  0.3333  0.4977 x1
C  0.3333  0.6667  0.4109 x1
C  0.3333  0.6667  0.8966 x1
Se  0.0000  0.0000  0.6396 x1
Se  0.6667  0.3333  0.1531 x1



[16]
The following is a DFT calculation (PBE) of a geometry-optimized Tb2Co structure.

Results
E_form: 1.005 eV per atom
Magnetic moment: 0.0016 μB/atom

Cell: 11.095 11.095 11.095 Å, 90.00 90.00 90.00°
Space group Fd-3m (No. 227, origin choice 2)
Unique sites:
Tb  0.000  0.000  0.000 x16
Co  0.125  0.125  0.125 x8



[17]
The following is a DFT calculation (PBE) of a geometry-optimized Y2TmMg4Tl2 structure.

Results
Total energy: -3.39 eV per atom
Magnetic moment: 0.0001 μB/atom

Cell: 4.629 13.058 7.585 Å, 90.00 90.00 90.00°
Space group Amm2 (No. 38)
Unique sites:
Y  0.000  0.218  0.000 x4
Tm  0.000  0.000  0.655 x2
Mg  0.000  0.000  0.222 x2
Mg  0.500  0.000  0.977 x2
Mg  0.500  0.121  0.340 x4
Tl  0.500  0.165  0.717 x4



[18]
The following is a DFT calculation (PBE) of a geometry-optimized Ho3LuTe2C2 structure.

Results
Total energy: -6.25 eV per atom
Magnetic moment: 0.0002 μB/atom

Cell: 3.7939 3.7939 13.9058 Å, 90.00 90.00 120.00°
Space group P3m1 (No. 156)
Unique sites:
Ho  0.0000  0.0000  0.0000 x1
Ho  0.0000  0.0000  0.3165 x1
Ho  0.6667  0.3333  0.8127 x1
Lu  0.6667  0.3333  0.4998 x1
Te  0.0000  0.0000  0.6539 x1
Te  0.6667  0.3333  0.1584 x1
C  0.3333  0.6667  0.4098 x1
C  0.3333  0.6667  0.9064 x1



[19]
The following is a DFT calculation (PBE) of a geometry-optimized KYHf structure.

Results
Total energy: -4.19 eV per atom
Magnetic moment: 1.5883 μB/atom

Cell: 7.962 7.962 7.962 Å, 90.00 90.00 90.00°
Space group F-43m (No. 216)
Unique sites:
K  0.000  0.000  0.000 x4
Y  0.250  0.250  0.750 x4
Hf  0.000  0.000  0.500 x4



[20]
The following is a DFT calculation (PBE) of a geometry-optimized Ac2CdSi3 structure.

Results
Total energy: -4.74 eV per atom
Magnetic moment: 0.0003 μB/atom

Cell: 8.631 9.354 14.912 Å, 90.00 90.00 90.00°
Space group Fmmm (No. 69)
Unique sites:
Ac  0.000  0.242  0.000 x8
Ac  0.250  0.250  0.250 x8
Cd  0.000  0.000  0.335 x8
Si  0.000  0.000  0.161 x8
Si  0.239  0.000  0.080 x16